--- one ---
VASP calculation (PBE-GGA) on crystalline Li2TiAl2 at its relaxed geometry.

a = 7.550 Å, b = 7.550 Å, c = 2.778 Å
α = 90.00°, β = 90.00°, γ = 90.00°
Atoms (fractional coordinates):
Li 0.165 0.335 0.000
Li 0.335 0.835 0.000
Li 0.665 0.165 0.000
Li 0.835 0.665 0.000
Ti 0.000 0.000 0.500
Ti 0.500 0.500 0.500
Al 0.134 0.634 0.500
Al 0.366 0.134 0.500
Al 0.634 0.866 0.500
Al 0.866 0.366 0.500



--- two ---
VASP calculation (PBE-GGA) on crystalline Li2TiAl2 at its relaxed geometry.

a = 7.479 Å, b = 7.479 Å, c = 2.716 Å
α = 90.00°, β = 90.00°, γ = 90.00°
Atoms (fractional coordinates):
Li 0.115 0.385 0.000
Li 0.385 0.885 0.000
Li 0.615 0.115 0.000
Li 0.885 0.615 0.000
Ti 0.000 0.000 0.000
Ti 0.500 0.500 0.000
Al 0.184 0.684 0.500
Al 0.316 0.184 0.500
Al 0.684 0.816 0.500
Al 0.816 0.316 0.500



Going by the energies, two is most stable and the next is 12.9 kJ/mol of atoms up.



--- one ---
VASP calculation (PBE-GGA) on crystalline Li3TiAl at its relaxed geometry.

a = 4.879 Å, b = 4.879 Å, c = 4.879 Å
α = 90.00°, β = 90.00°, γ = 90.00°
Atoms (fractional coordinates):
Li 0.000 0.000 0.500
Li 0.000 0.500 0.000
Li 0.500 0.000 0.000
Ti 0.000 0.000 0.000
Al 0.500 0.500 0.500



--- two ---
VASP calculation (PBE-GGA) on crystalline Li3TiAl at its relaxed geometry.

a = 4.592 Å, b = 4.592 Å, c = 4.592 Å
α = 90.00°, β = 90.00°, γ = 90.00°
Atoms (fractional coordinates):
Li 0.000 0.000 0.500
Li 0.000 0.500 0.000
Li 0.500 0.000 0.000
Ti 0.500 0.500 0.500
Al 0.000 0.000 0.000



Going by the energies, two is most stable and the next is 34.0 kJ/mol of atoms up.



--- one ---
VASP calculation (PBE-GGA) on crystalline Li3AlTl at its relaxed geometry.

a = 7.176 Å, b = 7.176 Å, c = 4.553 Å
α = 90.00°, β = 90.00°, γ = 108.87°
Atoms (fractional coordinates):
Li 0.000 0.000 0.000
Li 0.000 0.000 0.500
Li 0.172 0.477 0.750
Li 0.477 0.172 0.250
Li 0.523 0.828 0.750
Li 0.828 0.523 0.250
Al 0.443 0.557 0.250
Al 0.557 0.443 0.750
Tl 0.213 0.787 0.250
Tl 0.787 0.213 0.750



--- two ---
VASP calculation (PBE-GGA) on crystalline Li3AlTl at its relaxed geometry.

a = 5.031 Å, b = 5.031 Å, c = 5.031 Å
α = 90.00°, β = 90.00°, γ = 90.00°
Atoms (fractional coordinates):
Li 0.000 0.000 0.500
Li 0.000 0.500 0.000
Li 0.500 0.000 0.000
Al 0.000 0.000 0.000
Tl 0.500 0.500 0.500



--- three ---
VASP calculation (PBE-GGA) on crystalline Li3AlTl at its relaxed geometry.

a = 5.040 Å, b = 5.040 Å, c = 5.040 Å
α = 90.00°, β = 90.00°, γ = 90.00°
Atoms (fractional coordinates):
Li 0.000 0.000 0.500
Li 0.000 0.500 0.000
Li 0.500 0.000 0.000
Al 0.500 0.500 0.500
Tl 0.000 0.000 0.000



Going by the energies, one is most stable and the next is 19.4 kJ/mol of atoms up.



--- one ---
VASP calculation (PBE-GGA) on crystalline LiAlTl at its relaxed geometry.

a = 4.511 Å, b = 4.511 Å, c = 4.511 Å
α = 60.00°, β = 60.00°, γ = 60.00°
Atoms (fractional coordinates):
Li 0.000 0.000 0.000
Al 0.750 0.750 0.750
Tl 0.250 0.250 0.250



--- two ---
VASP calculation (PBE-GGA) on crystalline LiAlTl at its relaxed geometry.

a = 5.242 Å, b = 5.242 Å, c = 5.242 Å
α = 144.49°, β = 131.41°, γ = 61.62°
Atoms (fractional coordinates):
Li 0.000 0.000 0.000
Al 0.339 0.339 0.000
Tl 0.670 0.670 0.000



--- three ---
VASP calculation (PBE-GGA) on crystalline LiAlTl at its relaxed geometry.

a = 4.872 Å, b = 4.872 Å, c = 3.137 Å
α = 90.00°, β = 90.00°, γ = 120.00°
Atoms (fractional coordinates):
Li 0.000 0.000 0.000
Al 0.333 0.667 0.502
Tl 0.667 0.333 0.497



Going by the energies, three is most stable and the next is 0.6 kJ/mol of atoms up.



--- one ---
VASP calculation (PBE-GGA) on crystalline LiAlTl at its relaxed geometry.

a = 6.410 Å, b = 6.410 Å, c = 6.410 Å
α = 150.83°, β = 150.83°, γ = 41.72°
Atoms (fractional coordinates):
Li 0.000 0.000 0.000
Al 0.646 0.646 0.000
Tl 0.327 0.327 0.000



--- two ---
VASP calculation (PBE-GGA) on crystalline LiAlTl at its relaxed geometry.

a = 3.802 Å, b = 3.802 Å, c = 8.563 Å
α = 90.30°, β = 90.30°, γ = 90.85°
Atoms (fractional coordinates):
Li 0.248 0.248 0.406
Li 0.752 0.752 0.594
Al 0.249 0.249 0.074
Al 0.751 0.751 0.926
Tl 0.254 0.254 0.742
Tl 0.746 0.746 0.258



--- three ---
VASP calculation (PBE-GGA) on crystalline LiAlTl at its relaxed geometry.

a = 4.603 Å, b = 4.603 Å, c = 4.603 Å
α = 60.00°, β = 60.00°, γ = 60.00°
Atoms (fractional coordinates):
Li 0.000 0.000 0.000
Al 0.500 0.500 0.500
Tl 0.750 0.750 0.750



Going by the energies, two is most stable and the next is 4.3 kJ/mol of atoms up.



--- one ---
VASP calculation (PBE-GGA) on crystalline Li5AlTl4 at its relaxed geometry.

a = 8.052 Å, b = 8.052 Å, c = 5.934 Å
α = 107.40°, β = 107.40°, γ = 33.97°
Atoms (fractional coordinates):
Li 0.000 0.000 0.000
Li 0.207 0.207 0.315
Li 0.400 0.400 0.137
Li 0.600 0.600 0.863
Li 0.793 0.793 0.685
Al 0.000 0.000 0.500
Tl 0.197 0.197 0.804
Tl 0.405 0.405 0.652
Tl 0.595 0.595 0.348
Tl 0.803 0.803 0.196



--- two ---
VASP calculation (PBE-GGA) on crystalline Li5AlTl4 at its relaxed geometry.

a = 3.432 Å, b = 3.432 Å, c = 16.969 Å
α = 90.00°, β = 90.00°, γ = 90.00°
Atoms (fractional coordinates):
Li 0.000 0.000 0.000
Li 0.000 0.000 0.213
Li 0.000 0.000 0.414
Li 0.000 0.000 0.586
Li 0.000 0.000 0.787
Al 0.500 0.500 0.500
Tl 0.500 0.500 0.106
Tl 0.500 0.500 0.317
Tl 0.500 0.500 0.683
Tl 0.500 0.500 0.894



Going by the energies, two is most stable and the next is 1.6 kJ/mol of atoms up.